No. 1
Computed, not measured: MgIrSe after structural relaxation at the PBE level of DFT.

Summary:
relative energy among the computed polymorphs = 0.174 eV per atom
Fermi-level density of states = 2.0 states/eV/cell
raw formation energy = -0.03 eV/atom
theoretical density = 9.674 g cm⁻³

Cell lengths 4.816, 4.816, 4.816 Å; angles 141.22, 132.83, 62.65 degrees
Positions (direct):
1 Mg 0.000 0.000 0.000
2 Ir 0.358 0.358 0.000
3 Se 0.663 0.663 0.000


No. 2
Computed, not measured: MgIr2Se after structural relaxation at the PBE level of DFT.

Summary:
relative energy among the computed polymorphs = 0.375 eV per atom
Fermi-level density of states = 6.5 states/eV/cell
raw formation energy = 0.35 eV/atom
theoretical density = 12.422 g cm⁻³

Cell lengths 4.518, 4.518, 4.518 Å; angles 60.00, 60.00, 60.00 degrees
Positions (direct):
1 Mg 0.000 0.000 0.000
2 Ir 0.250 0.250 0.250
3 Ir 0.500 0.500 0.500
4 Se 0.750 0.750 0.750


Which value of Fermi-level density of states does entry 1 give?
2.0 states/eV/cell


What is the raw formation energy in the second record?
0.35 eV/atom


Fermi-level density of states of number 2 (MgIr2Se)?
6.5 states/eV/cell


What is the Fermi-level density of states in the first record?
2.0 states/eV/cell